Entry from the Alexandria database: a relaxed Tb6NdHo2Er crystal (PBE).

Computed properties:
E_form   0.1189 eV per atom
Magnetic moment   0.0 μB/f.u.

Cell: 9.099 15.043 9.536 Å, 90.00 96.98 90.00°
Space group C2/c (No. 15)
Asymmetric unit:
Tb1 0.063 0.185 0.444 [8 per cell]
Tb2 0.099 0.391 0.619 [8 per cell]
Tb3 0.210 0.225 0.816 [8 per cell]
Nd1 0.000 0.026 0.750 [4 per cell]
Ho1 0.248 0.448 0.954 [8 per cell]
Er1 0.000 0.410 0.250 [4 per cell]